DFT (meta-GGA SCAN) results for a PBEsol-optimized structure of Ba3Sr4.

Values from the calculation:
Mass density, g/cm3: 3.218
Calculated volume, Å³/f.u.: 393.4
Formation energy, eV per atom: 0.095

Lattice parameters (Å, degrees): 7.594 7.734 7.734 120.00 90.00 90.00
Element x y z (fractional)
Sr  0.255  0.000  0.000
Sr  0.745  0.000  0.000
Sr  0.500  0.333  0.667
Sr  0.500  0.667  0.333
Ba  0.000  0.000  0.500
Ba  0.000  0.500  0.500
Ba  0.000  0.500  0.000

---

DFT (meta-GGA SCAN) results for a PBEsol-optimized structure of Tl2P.

Values from the calculation:
Mass density, g/cm3: 8.985
Calculated volume, Å³/f.u.: 81.3
Formation energy, eV per atom: 0.205

Lattice parameters (Å, degrees): 4.070 5.872 6.801 90.00 90.00 90.00
Element x y z (fractional)
P  0.000  0.000  0.000
P  0.500  0.500  0.500
Tl  0.500  0.710  0.873
Tl  0.000  0.790  0.373
Tl  0.500  0.290  0.127
Tl  0.000  0.210  0.627

---

DFT (meta-GGA SCAN) results for a PBEsol-optimized structure of GaHgAuO2.

Values from the calculation:
Mass density, g/cm3: 8.803
Formation energy from raw total energies, meV/atom: 568
Calculated volume, Å³/f.u.: 94.2

Lattice parameters (Å, degrees): 3.998 3.998 5.892 90.00 90.00 90.00
Element x y z (fractional)
Hg  0.000  0.000  0.000
Au  0.500  0.500  0.500
O  0.500  0.000  0.000
O  0.000  0.500  0.000
Ga  0.000  0.000  0.500